(1)
SrAg6O4: single point on PBEsol structure, SCAN.

Properties
Formation energy without anion corrections = -7.86 eV/f.u.

```
SrAg6O4
1.0
-5.570 -3.225 -0.251
3.380 -5.359 -6.180
4.017 -7.624 8.808
Sr Ag O
4 24 16
Direct
0.750 0.117 0.500
0.250 0.883 0.500
0.750 0.383 0.000
0.250 0.617 0.000
0.000 0.500 0.500
0.790 0.739 0.877
0.094 0.750 0.250
0.000 0.000 0.000
0.710 0.761 0.377
0.578 0.461 0.739
0.422 0.961 0.239
0.422 0.539 0.261
0.710 0.739 0.123
0.500 0.000 0.000
0.290 0.239 0.623
0.578 0.039 0.761
0.290 0.261 0.877
0.078 0.961 0.761
0.500 0.500 0.500
0.078 0.539 0.739
0.594 0.250 0.250
0.922 0.461 0.261
0.406 0.750 0.750
0.210 0.239 0.377
0.922 0.039 0.239
0.906 0.250 0.750
0.210 0.261 0.123
0.790 0.761 0.623
0.407 0.827 0.103
0.593 0.173 0.897
0.907 0.327 0.397
0.953 0.583 0.120
0.407 0.673 0.397
0.953 0.917 0.380
0.047 0.417 0.880
0.547 0.917 0.620
0.453 0.083 0.380
0.907 0.173 0.103
0.547 0.583 0.880
0.093 0.673 0.603
0.593 0.327 0.603
0.453 0.417 0.120
0.047 0.083 0.620
0.093 0.827 0.897
```

=====

(2)
YFeRe: single point on PBEsol structure, SCAN.

Properties
Formation energy = 0.70 eV/atom
N(E_F) = 0.825 states/eV/atom

```
YFeRe
1.0
4.248 0.000 0.000
2.124 3.679 0.000
2.124 1.226 3.468
Fe Y Re
1 1 1
Direct
0.250 0.250 0.250
0.500 0.500 0.500
0.000 0.000 0.000
```

=====

(3)
Hg2IrCl: single point on PBEsol structure, SCAN.

Properties
Formation energy without anion corrections = 1.97 eV/f.u.
N(E_F) = 0.463 states/eV/atom

```
Hg2IrCl
1.0
-2.305 -1.110 1.904
-1.459 -2.748 -0.698
4.720 -5.651 5.090
Hg Cl Ir
2 1 1
Direct
0.000 0.000 0.000
0.760 0.760 0.721
0.235 0.235 0.295
0.505 0.505 0.484
```

=====

(4)
Ca2RuCl: single point on PBEsol structure, SCAN.

Properties
Formation energy without anion corrections = -2.18 eV/f.u.
N(E_F) = 0.500 states/eV/atom

```
Ca2RuCl
1.0
-1.842 0.041 -2.536
-2.693 -3.917 1.893
-3.149 3.296 2.341
Ca Cl Ru
2 1 1
Direct
0.125 0.500 0.000
0.126 0.000 0.500
0.624 0.000 0.000
0.625 0.500 0.500
```

=====

(5)
Ti2Si6W: single point on PBEsol structure, SCAN.

Properties
Formation energy without anion corrections = -4.01 eV/f.u.
N(E_F) = 0.251 states/eV/atom

```
Ti2Si6W
1.0
-4.155 -2.095 0.316
3.886 -2.563 -0.316
0.505 -0.029 6.457
Ti Si W
2 6 1
Direct
0.000 0.500 0.667
0.500 0.500 0.333
0.166 0.331 0.000
0.318 0.162 0.666
0.156 0.838 0.334
0.682 0.838 0.666
0.834 0.669 0.000
0.844 0.162 0.334
0.500 0.000 0.000
```

=====

(6)
TlHgSeBr2: single point on PBEsol structure, SCAN.

Properties
Formation energy without anion corrections = -1.01 eV/f.u.
N(E_F) = 0.770 states/eV/atom

```
TlHgSeBr2
1.0
-1.889 4.121 2.513
-2.849 1.413 -4.459
-4.230 -3.006 1.750
Br Hg Tl Se
2 1 1 1
Direct
0.000 0.000 0.500
0.000 0.500 0.000
0.000 0.000 0.000
0.500 0.500 0.500
0.500 0.000 0.000
```

=====

(7)
Cs2Te2Br: single point on PBEsol structure, SCAN.

Properties
Formation energy without anion corrections = -6.20 eV/f.u.
N(E_F) = 0.186 states/eV/atom

```
Cs2Te2Br
1.0
-1.158 1.619 3.961
3.273 -2.309 1.901
5.292 8.224 -4.295
Te Br Cs
2 1 2
Direct
0.750 0.250 0.500
0.250 0.750 0.500
0.000 0.000 0.000
0.598 0.598 0.195
0.402 0.402 0.805
```

=====

(8)
MnTeC3: single point on PBEsol structure, SCAN.

Properties
Formation energy without anion corrections = 14.02 eV/f.u.
N(E_F) = 0.404 states/eV/atom

```
MnTeC3
1.0
4.121 0.000 0.000
0.000 4.121 0.000
0.000 0.000 4.121
Te Mn C
1 1 3
Direct
0.000 0.000 0.000
0.500 0.500 0.500
0.500 0.000 0.000
0.000 0.500 0.000
0.000 0.000 0.500
```

=====

> What is the formula in the third record?

Hg2IrCl

=====

> Which formula does entry 1 have?

SrAg6O4